1.
A plane-wave DFT calculation with GGA-PBE was carried out for FeWAu2 after structural relaxation.

Calculated values
SG	Cmm2
Fermi-level density of states	4.79	states/eV per cell
E_form	22.6	kJ/mol of atoms

Structure (CIF):
```
data_FeWAu2
_chemical_formula_sum 'Fe2 W2 Au4'
_cell_length_a 3.5197
_cell_length_b 4.2869
_cell_length_c 8.5311
_cell_angle_alpha 90.00
_cell_angle_beta 90.00
_cell_angle_gamma 90.00
_symmetry_space_group_name_H-M 'P 1'
_symmetry_Int_Tables_number 1
_symmetry_space_group_name_Hall 'P 1'
loop_
_atom_site_label
_atom_site_fract_x
_atom_site_fract_y
_atom_site_fract_z
Fe1 0.0000 0.0000 0.0000
Fe2 0.5000 0.5000 0.0000
W1 0.0000 0.5000 0.2210
W2 0.5000 0.0000 0.2210
Au1 0.0000 0.0000 0.4820
Au2 0.0000 0.5000 0.7622
Au3 0.5000 0.0000 0.7622
Au4 0.5000 0.5000 0.4820
```

***

2.
A plane-wave DFT calculation with GGA-PBE was carried out for RbNa2Bi after structural relaxation.

Calculated values
SG	P2_1/m
Fermi-level density of states	1.51	states/eV per cell
E_form	-33.6	kJ/mol of atoms

Structure (CIF):
```
data_RbNa2Bi
_chemical_formula_sum 'Rb2 Na4 Bi2'
_cell_length_a 5.4752
_cell_length_b 9.2451
_cell_length_c 7.2641
_cell_angle_alpha 90.00
_cell_angle_beta 112.09
_cell_angle_gamma 90.00
_symmetry_space_group_name_H-M 'P 1'
_symmetry_Int_Tables_number 1
_symmetry_space_group_name_Hall 'P 1'
loop_
_atom_site_label
_atom_site_fract_x
_atom_site_fract_y
_atom_site_fract_z
Rb1 0.0705 0.2500 0.1396
Rb2 0.9295 0.7500 0.8604
Na1 0.3205 0.0625 0.6404
Na2 0.3205 0.4375 0.6404
Na3 0.6795 0.5625 0.3596
Na4 0.6795 0.9375 0.3596
Bi1 0.2094 0.7500 0.4197
Bi2 0.7906 0.2500 0.5803
```

***

3.
A plane-wave DFT calculation with GGA-PBE was carried out for La12Cd3Ga after structural relaxation.

Calculated values
SG	P4/mmm
Fermi-level density of states	22.28	states/eV per cell
E_form	-11.9	kJ/mol of atoms

Structure (CIF):
```
data_La12Cd3Ga
_chemical_formula_sum 'La12 Cd3 Ga1'
_cell_length_a 5.8214
_cell_length_b 5.8214
_cell_length_c 15.1295
_cell_angle_alpha 90.00
_cell_angle_beta 90.00
_cell_angle_gamma 90.00
_symmetry_space_group_name_H-M 'P 1'
_symmetry_Int_Tables_number 1
_symmetry_space_group_name_Hall 'P 1'
loop_
_atom_site_label
_atom_site_fract_x
_atom_site_fract_y
_atom_site_fract_z
La1 0.0000 0.0000 0.0000
La2 0.0000 0.0000 0.2505
La3 0.0000 0.0000 0.5000
La4 0.0000 0.0000 0.7495
La5 0.0000 0.5000 0.1192
La6 0.0000 0.5000 0.3739
La7 0.0000 0.5000 0.6261
La8 0.0000 0.5000 0.8808
La9 0.5000 0.0000 0.1192
La10 0.5000 0.0000 0.3739
La11 0.5000 0.0000 0.6261
La12 0.5000 0.0000 0.8808
Cd1 0.5000 0.5000 0.2467
Cd2 0.5000 0.5000 0.5000
Cd3 0.5000 0.5000 0.7533
Ga1 0.5000 0.5000 0.0000
```

***

4.
A plane-wave DFT calculation with GGA-PBE was carried out for LaTbAgPt after structural relaxation.

Calculated values
SG	F-43m
Fermi-level density of states	8.45	states/eV per cell
E_form	-67.6	kJ/mol of atoms

Structure (CIF):
```
data_LaTbAgPt
_chemical_formula_sum 'La4 Tb4 Ag4 Pt4'
_cell_length_a 7.3110
_cell_length_b 7.3110
_cell_length_c 7.3110
_cell_angle_alpha 90.00
_cell_angle_beta 90.00
_cell_angle_gamma 90.00
_symmetry_space_group_name_H-M 'P 1'
_symmetry_Int_Tables_number 1
_symmetry_space_group_name_Hall 'P 1'
loop_
_atom_site_label
_atom_site_fract_x
_atom_site_fract_y
_atom_site_fract_z
La1 0.0000 0.0000 0.0000
La2 0.0000 0.5000 0.5000
La3 0.5000 0.0000 0.5000
La4 0.5000 0.5000 0.0000
Tb1 0.0000 0.0000 0.5000
Tb2 0.0000 0.5000 0.0000
Tb3 0.5000 0.0000 0.0000
Tb4 0.5000 0.5000 0.5000
Ag1 0.2500 0.2500 0.7500
Ag2 0.2500 0.7500 0.2500
Ag3 0.7500 0.2500 0.2500
Ag4 0.7500 0.7500 0.7500
Pt1 0.2500 0.2500 0.2500
Pt2 0.2500 0.7500 0.7500
Pt3 0.7500 0.2500 0.7500
Pt4 0.7500 0.7500 0.2500
```

***

5.
A plane-wave DFT calculation with GGA-PBE was carried out for Pu3Ga3Au after structural relaxation.

Calculated values
SG	C2/m
Fermi-level density of states	41.51	states/eV per cell
E_form	-28.5	kJ/mol of atoms

Structure (CIF):
```
data_Pu3Ga3Au
_chemical_formula_sum 'Pu6 Ga6 Au2'
_cell_length_a 6.2193
_cell_length_b 6.2193
_cell_length_c 16.3189
_cell_angle_alpha 106.28
_cell_angle_beta 106.28
_cell_angle_gamma 29.89
_symmetry_space_group_name_H-M 'P 1'
_symmetry_Int_Tables_number 1
_symmetry_space_group_name_Hall 'P 1'
loop_
_atom_site_label
_atom_site_fract_x
_atom_site_fract_y
_atom_site_fract_z
Pu1 0.0191 0.0191 0.1294
Pu2 0.1416 0.1416 0.4263
Pu3 0.2592 0.2592 0.7173
Pu4 0.7408 0.7408 0.2827
Pu5 0.8584 0.8584 0.5737
Pu6 0.9809 0.9809 0.8706
Ga1 0.3506 0.3506 0.9817
Ga2 0.4084 0.4084 0.4268
Ga3 0.4760 0.4760 0.2813
Ga4 0.5240 0.5240 0.7187
Ga5 0.5916 0.5916 0.5732
Ga6 0.6494 0.6494 0.0183
Au1 0.2945 0.2945 0.1340
Au2 0.7055 0.7055 0.8660
```

***

6.
A plane-wave DFT calculation with GGA-PBE was carried out for LiGaPt after structural relaxation.

Calculated values
SG	Pnma
Fermi-level density of states	4.82	states/eV per cell
E_form	-68.2	kJ/mol of atoms

Structure (CIF):
```
data_LiGaPt
_chemical_formula_sum 'Li4 Ga4 Pt4'
_cell_length_a 5.2460
_cell_length_b 4.3032
_cell_length_c 7.7684
_cell_angle_alpha 90.00
_cell_angle_beta 90.00
_cell_angle_gamma 90.00
_symmetry_space_group_name_H-M 'P 1'
_symmetry_Int_Tables_number 1
_symmetry_space_group_name_Hall 'P 1'
loop_
_atom_site_label
_atom_site_fract_x
_atom_site_fract_y
_atom_site_fract_z
Li1 0.0335 0.2500 0.2453
Li2 0.4665 0.7500 0.7453
Li3 0.5335 0.2500 0.2547
Li4 0.9665 0.7500 0.7547
Ga1 0.1929 0.2500 0.9095
Ga2 0.3071 0.7500 0.4095
Ga3 0.6929 0.2500 0.5905
Ga4 0.8071 0.7500 0.0905
Pt1 0.1947 0.2500 0.5750
Pt2 0.3053 0.7500 0.0750
Pt3 0.6947 0.2500 0.9250
Pt4 0.8053 0.7500 0.4250
```

***

7.
A plane-wave DFT calculation with GGA-PBE was carried out for Rb2Ag2Te3 after structural relaxation.

Calculated values
SG	Cmcm
Fermi-level density of states	0.52	states/eV per cell
ΔE_f (raw)	-337	kJ/mol of formula units

Structure (CIF):
```
data_Rb2Ag2Te3
_chemical_formula_sum 'Rb4 Ag4 Te6'
_cell_length_a 12.7505
_cell_length_b 12.7505
_cell_length_c 7.2778
_cell_angle_alpha 90.00
_cell_angle_beta 90.00
_cell_angle_gamma 156.03
_symmetry_space_group_name_H-M 'P 1'
_symmetry_Int_Tables_number 1
_symmetry_space_group_name_Hall 'P 1'
loop_
_atom_site_label
_atom_site_fract_x
_atom_site_fract_y
_atom_site_fract_z
Rb1 0.0273 0.9727 0.7500
Rb2 0.1668 0.8332 0.2500
Rb3 0.8332 0.1668 0.7500
Rb4 0.9727 0.0273 0.2500
Ag1 0.3035 0.6965 0.0522
Ag2 0.3035 0.6965 0.4478
Ag3 0.6965 0.3035 0.5522
Ag4 0.6965 0.3035 0.9478
Te1 0.2263 0.7737 0.7500
Te2 0.4138 0.5862 0.5556
Te3 0.4138 0.5862 0.9444
Te4 0.5862 0.4138 0.0556
Te5 0.5862 0.4138 0.4444
Te6 0.7737 0.2263 0.2500
```

***

8.
A plane-wave DFT calculation with GGA-PBE was carried out for Ti2POs after structural relaxation.

Calculated values
SG	I-42d
Fermi-level density of states	13.65	states/eV per cell
E_form	-14.5	kJ/mol of atoms

Structure (CIF):
```
data_Ti2POs
_chemical_formula_sum 'Ti8 P4 Os4'
_cell_length_a 6.8003
_cell_length_b 6.8003
_cell_length_c 5.4090
_cell_angle_alpha 90.00
_cell_angle_beta 90.00
_cell_angle_gamma 90.00
_symmetry_space_group_name_H-M 'P 1'
_symmetry_Int_Tables_number 1
_symmetry_space_group_name_Hall 'P 1'
loop_
_atom_site_label
_atom_site_fract_x
_atom_site_fract_y
_atom_site_fract_z
Ti1 0.2381 0.2500 0.1250
Ti2 0.2500 0.7381 0.3750
Ti3 0.2500 0.7619 0.8750
Ti4 0.2619 0.2500 0.6250
Ti5 0.7381 0.7500 0.6250
Ti6 0.7500 0.2381 0.8750
Ti7 0.7500 0.2619 0.3750
Ti8 0.7619 0.7500 0.1250
P1 0.0000 0.0000 0.0000
P2 0.0000 0.5000 0.2500
P3 0.5000 0.0000 0.7500
P4 0.5000 0.5000 0.5000
Os1 0.0000 0.0000 0.5000
Os2 0.0000 0.5000 0.7500
Os3 0.5000 0.0000 0.2500
Os4 0.5000 0.5000 0.0000
```